Run a
Density functional theory data (GGA-PBE) for a relaxed structure of HgPIr.

The structure in CIF format:
```
data_HgPIr
_cell_length_a 3.3268
_cell_length_b 3.3268
_cell_length_c 6.1001
_cell_angle_alpha 90.00
_cell_angle_beta 90.00
_cell_angle_gamma 120.00
_space_group_name_H-M_alt 'P 3 m 1'
_space_group_IT_number 156
loop_
_space_group_symop_operation_xyz
'x,y,z'
'-y,x-y,z'
'-x+y,-x,z'
'-y,-x,z'
'-x+y,y,z'
'x,x-y,z'
loop_
_atom_site_label
_atom_site_type_symbol
_atom_site_fract_x
_atom_site_fract_y
_atom_site_fract_z
Hg1 Hg 0.0000 0.0000 0.0000
P1 P 0.3333 0.6667 0.5694
Ir1 Ir 0.6667 0.3333 0.3675
```

=====

Run b
Density functional theory data (GGA-PBE) for a relaxed structure of HgPIr.

The structure in CIF format:
```
data_HgPIr
_cell_length_a 3.9557
_cell_length_b 3.9557
_cell_length_c 4.1213
_cell_angle_alpha 90.00
_cell_angle_beta 90.00
_cell_angle_gamma 120.00
_space_group_name_H-M_alt 'P -6 m 2'
_space_group_IT_number 187
_space_group_name_Hall 'P -6 2'
loop_
_atom_site_label
_atom_site_type_symbol
_atom_site_fract_x
_atom_site_fract_y
_atom_site_fract_z
Hg1 Hg 0.0000 0.0000 0.0000
P1 P 0.3333 0.6667 0.5000
Ir1 Ir 0.6667 0.3333 0.5000
```

=====

Which one sits at the top of the stability order? run a does.

=====

Run a
Density functional theory data (GGA-PBE) for a relaxed structure of HgP2IrS.

The structure in CIF format:
```
data_HgP2IrS
_cell_length_a 4.8423
_cell_length_b 4.8423
_cell_length_c 4.8421
_cell_angle_alpha 90.00
_cell_angle_beta 90.00
_cell_angle_gamma 90.00
_space_group_name_H-M_alt 'P 4/m m m'
_space_group_IT_number 123
_space_group_name_Hall '-P 4 2'
loop_
_atom_site_label
_atom_site_type_symbol
_atom_site_fract_x
_atom_site_fract_y
_atom_site_fract_z
Hg1 Hg 0.0000 0.0000 0.0000
P1 P 0.0000 0.5000 0.0000
Ir1 Ir 0.5000 0.5000 0.5000
S1 S 0.0000 0.0000 0.5000
```

=====

Run b
Density functional theory data (GGA-PBE) for a relaxed structure of HgP2IrS.

The structure in CIF format:
```
data_HgP2IrS
_cell_length_a 4.4901
_cell_length_b 4.4901
_cell_length_c 5.3447
_cell_angle_alpha 90.00
_cell_angle_beta 90.00
_cell_angle_gamma 90.00
_space_group_name_H-M_alt 'P 4/m m m'
_space_group_IT_number 123
_space_group_name_Hall '-P 4 2'
loop_
_atom_site_label
_atom_site_type_symbol
_atom_site_fract_x
_atom_site_fract_y
_atom_site_fract_z
Hg1 Hg 0.0000 0.0000 0.0000
P1 P 0.0000 0.5000 0.5000
Ir1 Ir 0.5000 0.5000 0.5000
S1 S 0.5000 0.5000 0.0000
```

=====

Which one sits at the top of the stability order? run b does.

=====

Run a
Density functional theory data (GGA-PBE) for a relaxed structure of Sr2HgPIr.

The structure in CIF format:
```
data_Sr2HgPIr
_cell_length_a 5.8626
_cell_length_b 5.8626
_cell_length_c 4.3460
_cell_angle_alpha 90.00
_cell_angle_beta 90.00
_cell_angle_gamma 90.00
_space_group_name_H-M_alt 'P 4/m m m'
_space_group_IT_number 123
_space_group_name_Hall '-P 4 2'
loop_
_atom_site_label
_atom_site_type_symbol
_atom_site_fract_x
_atom_site_fract_y
_atom_site_fract_z
Sr1 Sr 0.0000 0.5000 0.0000
Hg1 Hg 0.0000 0.0000 0.5000
P1 P 0.5000 0.5000 0.0000
Ir1 Ir 0.5000 0.5000 0.5000
```

=====

Run b
Density functional theory data (GGA-PBE) for a relaxed structure of Sr2HgPIr.

The structure in CIF format:
```
data_Sr2HgPIr
_cell_length_a 5.9307
_cell_length_b 5.9307
_cell_length_c 4.4274
_cell_angle_alpha 90.00
_cell_angle_beta 90.00
_cell_angle_gamma 90.00
_space_group_name_H-M_alt 'P 4/m m m'
_space_group_IT_number 123
_space_group_name_Hall '-P 4 2'
loop_
_atom_site_label
_atom_site_type_symbol
_atom_site_fract_x
_atom_site_fract_y
_atom_site_fract_z
Sr1 Sr 0.0000 0.5000 0.0000
Hg1 Hg 0.0000 0.0000 0.5000
P1 P 0.5000 0.5000 0.5000
Ir1 Ir 0.5000 0.5000 0.0000
```

=====

Which one sits at the top of the stability order? run a does.

=====

Run a
Density functional theory data (GGA-PBE) for a relaxed structure of PmPaHgIr.

The structure in CIF format:
```
data_PmPaHgIr
_cell_length_a 7.2341
_cell_length_b 7.2341
_cell_length_c 7.2341
_cell_angle_alpha 90.00
_cell_angle_beta 90.00
_cell_angle_gamma 90.00
_space_group_name_H-M_alt 'F -4 3 m'
_space_group_IT_number 216
_space_group_name_Hall 'F -4 2 3'
loop_
_atom_site_label
_atom_site_type_symbol
_atom_site_fract_x
_atom_site_fract_y
_atom_site_fract_z
Pm1 Pm 0.0000 0.0000 0.0000
Pa1 Pa 0.0000 0.0000 0.5000
Hg1 Hg 0.2500 0.2500 0.7500
Ir1 Ir 0.2500 0.2500 0.2500
```

=====

Run b
Density functional theory data (GGA-PBE) for a relaxed structure of PmPaHgIr.

The structure in CIF format:
```
data_PmPaHgIr
_cell_length_a 3.9916
_cell_length_b 3.9916
_cell_length_c 23.6531
_cell_angle_alpha 90.00
_cell_angle_beta 90.00
_cell_angle_gamma 120.00
_space_group_name_H-M_alt 'R 3 m'
_space_group_IT_number 160
_space_group_name_Hall 'R 3 -2"'
loop_
_atom_site_label
_atom_site_type_symbol
_atom_site_fract_x
_atom_site_fract_y
_atom_site_fract_z
Pm1 Pm 0.0000 0.0000 0.0000
Pa1 Pa 0.0000 0.0000 0.1962
Hg1 Hg 0.0000 0.0000 0.7672
Ir1 Ir 0.0000 0.0000 0.5900
```

=====

Which one sits at the top of the stability order? run b does.